Crystalline ReSiMo2 at its relaxed geometry. Source: the Alexandria database, functional PBE.

Cell lengths 8.8657, 8.8657, 8.8657 Å; angles 18.33, 18.33, 18.33 degrees
Closest atoms and distances in Å follow each position.
Positions (direct):
Mo (0.0019, 0.0019, 0.0019)  3 Si 2.68, 3 Re 2.76, 6 Mo 2.82
Mo (0.4981, 0.4981, 0.4981)  3 Si 2.68, 3 Re 2.76, 6 Mo 2.82
Re (0.2500, 0.2500, 0.2500)  6 Mo 2.76, 6 Re 2.82
Si (0.7500, 0.7500, 0.7500)  6 Mo 2.68, 6 Si 2.82

The calculation puts the uncorrected formation energy at 0.066 eV per atom. The volume comes out at 60 Å³ per cell. Its total DFT energy (no corrections) is -9.8175 eV/atom.